# 1
{"formula": "NpPtW", "functional": "PBE-GGA", "state": "optimized geometry", "de_polymorph_mev_per_atom": 0.0, "sg": "No. 216", "crystal_system": "cubic", "e_tot_ev_per_cell": -29.82, "volume_a3_per_cell": 64.3, "lattice": [[0.000, 3.180, 3.180], [3.180, 0.000, 3.180], [3.180, 3.180, 0.000]], "species": ["Np", "Pt", "W"], "fractional_positions": [[0.250, 0.250, 0.250], [0.000, 0.000, 0.000], [0.750, 0.750, 0.750]]}

***

# 2
{"formula": "InTe3PtAu", "functional": "PBE-GGA", "state": "optimized geometry", "de_polymorph_mev_per_atom": 0.0, "sg": "No. 63", "crystal_system": "orthorhombic", "e_tot_ev_per_cell": -45.83, "volume_a3_per_cell": 304.9, "lattice": [[3.981, 0.000, 0.000], [1.990, 6.755, 0.000], [0.000, 0.000, 11.340]], "species": ["Au", "Au", "In", "In", "Pt", "Pt", "Te", "Te", "Te", "Te", "Te", "Te"], "fractional_positions": [[0.661, 0.678, 0.250], [0.339, 0.322, 0.750], [0.309, 0.381, 0.250], [0.691, 0.619, 0.750], [0.000, 0.000, 0.000], [0.000, 0.000, 0.500], [0.633, 0.735, 0.011], [0.989, 0.023, 0.250], [0.633, 0.735, 0.489], [0.367, 0.265, 0.511], [0.011, 0.977, 0.750], [0.367, 0.265, 0.989]]}

***

# 3
{"formula": "YTl2Ni", "functional": "PBE-GGA", "state": "optimized geometry", "sg": "No. 216", "crystal_system": "cubic", "e_tot_ev_per_cell": -16.72, "volume_a3_per_cell": 90.9, "lattice": [[2.524, 1.457, 4.121], [-2.524, 1.457, 4.121], [0.000, -2.914, 4.121]], "species": ["Ni", "Tl", "Tl", "Y"], "fractional_positions": [[0.250, 0.250, 0.250], [0.000, 0.000, 0.000], [0.750, 0.750, 0.750], [0.500, 0.500, 0.500]]}

***

# 4
{"formula": "Ho2H2I3Br", "functional": "PBE-GGA", "state": "optimized geometry", "sg": "No. 156", "crystal_system": "trigonal", "e_tot_ev_per_cell": -32.23, "volume_a3_per_cell": 212.0, "lattice": [[-3.664, -0.908, 1.128], [2.955, -0.141, 2.602], [-2.586, 15.097, 3.756]], "species": ["Br", "H", "H", "Ho", "Ho", "I", "I", "I"], "fractional_positions": [[0.000, 0.000, 0.873], [0.000, 0.000, 0.250], [0.667, 0.333, 0.752], [0.333, 0.667, 0.250], [0.333, 0.667, 0.755], [0.667, 0.333, 0.115], [0.667, 0.333, 0.384], [0.000, 0.000, 0.620]]}

***

# 5
{"formula": "LaCd3Sn4O12", "functional": "PBE-GGA", "state": "optimized geometry", "sg": "No. 204", "crystal_system": "cubic", "e_tot_ev_per_cell": -116.01, "volume_a3_per_cell": 258.3, "lattice": [[6.841, -0.910, -0.810], [-1.275, 2.407, 6.392], [-3.265, -6.070, -0.884]], "species": ["Cd", "Cd", "Cd", "La", "O", "O", "O", "O", "O", "O", "O", "O", "O", "O", "O", "O", "Sn", "Sn", "Sn", "Sn"], "fractional_positions": [[0.500, 0.500, 0.000], [0.500, 0.000, 0.500], [0.000, 0.500, 0.500], [0.000, 0.000, 0.000], [0.289, 0.815, 0.103], [0.474, 0.289, 0.185], [0.897, 0.711, 0.185], [0.185, 0.474, 0.289], [0.815, 0.103, 0.289], [0.289, 0.185, 0.474], [0.711, 0.815, 0.526], [0.815, 0.526, 0.711], [0.185, 0.897, 0.711], [0.103, 0.289, 0.815], [0.526, 0.711, 0.815], [0.711, 0.185, 0.897], [0.500, 0.000, 0.000], [0.000, 0.500, 0.000], [0.000, 0.000, 0.500], [0.500, 0.500, 0.500]]}

***

# 6
{"formula": "BeNbAu2", "functional": "PBE-GGA", "state": "optimized geometry", "sg": "No. 216", "crystal_system": "cubic", "e_tot_ev_per_cell": -19.85, "volume_a3_per_cell": 63.9, "lattice": [[0.000, 3.173, 3.173], [3.173, 0.000, 3.173], [3.173, 3.173, 0.000]], "species": ["Au", "Au", "Be", "Nb"], "fractional_positions": [[0.000, 0.000, 0.000], [0.750, 0.750, 0.750], [0.500, 0.500, 0.500], [0.250, 0.250, 0.250]]}

***

# 7
{"formula": "K2Ta", "functional": "PBE-GGA", "state": "optimized geometry", "de_polymorph_mev_per_atom": 919.5, "sg": "No. 227", "crystal_system": "cubic", "e_tot_ev_per_cell": -13.92, "volume_a3_per_cell": 984.1, "lattice": [[-10.745, -2.251, -2.034], [-7.704, 2.014, 7.826], [-7.292, 8.345, -1.361]], "species": ["K", "K", "K", "K", "Ta", "Ta"], "fractional_positions": [[0.375, 0.375, 0.375], [0.375, 0.875, 0.375], [0.875, 0.375, 0.375], [0.375, 0.375, 0.875], [0.250, 0.250, 0.250], [0.500, 0.500, 0.500]]}

***

# 8
{"formula": "LuZrBeIr", "functional": "PBE-GGA", "state": "optimized geometry", "de_polymorph_mev_per_atom": 0.0, "sg": "No. 216", "crystal_system": "cubic", "e_tot_ev_per_cell": -27.41, "volume_a3_per_cell": 72.2, "lattice": [[3.592, -2.505, -1.636], [-0.141, -4.670, 0.162], [-0.473, -2.462, -3.946]], "species": ["Be", "Ir", "Lu", "Zr"], "fractional_positions": [[0.750, 0.750, 0.750], [0.250, 0.250, 0.250], [0.500, 0.500, 0.500], [0.000, 0.000, 0.000]]}